Record 1
## TeIr2Pb (PBE)

Data for TeIr2Pb after structural relaxation.

Results
- Space-group type: No. 12
- Total magnetic moment: 0.000 μB per atom
- Formation energy without anion corrections: 3.116 eV per formula unit

Cell: 5.653 5.653 3.130 Å, 105.94 105.94 112.73°
Positions (direct):
Te 0.000 0.000 0.000
Ir 0.000 0.500 0.500
Ir 0.500 0.000 0.500
Pb 0.500 0.500 0.000

Record 2
## TeIr2Pb (PBE)

Data for TeIr2Pb after structural relaxation.

Results
- Space-group type: No. 47
- Total magnetic moment: 0.000 μB per atom
- Formation energy without anion corrections: 3.037 eV per formula unit

Cell: 3.124 4.703 5.463 Å, 90.00 90.00 90.00°
Positions (direct):
Te 0.000 0.000 0.000
Ir 0.000 0.500 0.500
Ir 0.500 0.500 0.000
Pb 0.500 0.000 0.500

Record 3
## Te2IrPb (PBE)

Data for Te2IrPb after structural relaxation.

Results
- Space-group type: No. 47
- Total magnetic moment: 0.000 μB per atom
- Formation energy without anion corrections: 2.407 eV per formula unit

Cell: 3.636 4.967 5.381 Å, 90.00 90.00 90.00°
Positions (direct):
Te 0.000 0.000 0.000
Te 0.500 0.000 0.500
Ir 0.000 0.500 0.500
Pb 0.500 0.500 0.000

Record 4
## TeIr2Pb (PBE)

Data for TeIr2Pb after structural relaxation.

Results
- Space-group type: No. 8
- Total magnetic moment: 0.000 μB per atom
- Formation energy without anion corrections: 0.902 eV per formula unit

Cell: 4.164 4.164 6.897 Å, 107.74 107.74 59.79°
Positions (direct):
Te 0.000 0.000 0.000
Ir 0.444 0.444 0.326
Ir 0.739 0.739 0.214
Pb 0.199 0.199 0.583

Record 5
## Te2IrPb (PBE)

Data for Te2IrPb after structural relaxation.

Results
- Space-group type: No. 216
- Total magnetic moment: 0.000 μB per atom
- Formation energy without anion corrections: 2.534 eV per formula unit

Cell: 5.141 5.141 5.141 Å, 60.00 60.00 60.00°
Positions (direct):
Te 0.000 0.000 0.000
Te 0.250 0.250 0.250
Ir 0.500 0.500 0.500
Pb 0.750 0.750 0.750

Record 6
## TeIr2Pb (PBE)

Data for TeIr2Pb after structural relaxation.

Results
- Space-group type: No. 44
- Total magnetic moment: 0.000 μB per atom
- Formation energy without anion corrections: 2.010 eV per formula unit

Cell: 6.028 6.028 6.028 Å, 150.84 130.47 58.51°
Positions (direct):
Te 0.000 0.000 0.000
Ir 0.224 0.724 0.500
Ir 0.441 0.441 0.000
Pb 0.700 0.200 0.500

Record 7
## TeIr2Pb (PBE)

Data for TeIr2Pb after structural relaxation.

Results
- Space-group type: No. 6
- Total magnetic moment: 0.000 μB per atom
- Formation energy without anion corrections: 1.061 eV per formula unit

Cell: 4.682 4.131 5.113 Å, 90.00 114.34 90.00°
Positions (direct):
Te 0.000 0.000 0.000
Ir 0.249 0.500 0.818
Ir 0.337 0.000 0.566
Pb 0.647 0.500 0.393

Record 8
## TeIr2Pb (PBE)

Data for TeIr2Pb after structural relaxation.

Results
- Space-group type: No. 123
- Total magnetic moment: 0.000 μB per atom
- Formation energy without anion corrections: 2.250 eV per formula unit

Cell: 4.930 4.930 3.177 Å, 90.00 90.00 90.00°
Positions (direct):
Te 0.000 0.000 0.000
Ir 0.000 0.500 0.500
Ir 0.500 0.000 0.500
Pb 0.500 0.500 0.000

Record 9
## TeIrPb2 (PBE)

Data for TeIrPb2 after structural relaxation.

Results
- Space-group type: No. 216
- Total magnetic moment: 0.000 μB per atom
- Formation energy without anion corrections: 1.987 eV per formula unit

Cell: 5.177 5.177 5.177 Å, 60.00 60.00 60.00°
Positions (direct):
Te 0.000 0.000 0.000
Ir 0.250 0.250 0.250
Pb 0.500 0.500 0.500
Pb 0.750 0.750 0.750

Record 10
## Te2IrPb (PBE)

Data for Te2IrPb after structural relaxation.

Results
- Space-group type: No. 6
- Total magnetic moment: 0.000 μB per atom
- Formation energy without anion corrections: 0.303 eV per formula unit

Cell: 4.865 3.319 7.781 Å, 90.00 107.70 90.00°
Positions (direct):
Te 0.000 0.000 0.000
Te 0.317 0.500 0.631
Ir 0.187 0.000 0.365
Pb 0.638 0.500 0.263

Record 11
## TeIrPb (PBE)

Data for TeIrPb after structural relaxation.

Results
- Space-group type: No. 216
- Total magnetic moment: 0.000 μB per atom
- Formation energy without anion corrections: 0.206 eV per formula unit

Cell: 4.694 4.694 4.694 Å, 60.00 60.00 60.00°
Positions (direct):
Te 0.000 0.000 0.000
Ir 0.750 0.750 0.750
Pb 0.500 0.500 0.500

Record 12
## TeIr2Pb (PBE)

Data for TeIr2Pb after structural relaxation.

Results
- Space-group type: No. 166
- Total magnetic moment: 0.000 μB per atom
- Formation energy without anion corrections: 2.022 eV per formula unit

Cell: 8.553 8.553 8.553 Å, 22.34 22.34 22.34°
Positions (direct):
Te 0.000 0.000 0.000
Ir 0.255 0.255 0.255
Ir 0.745 0.745 0.745
Pb 0.500 0.500 0.500